DyGeN: relaxed, PBE.

## Properties
The calculation puts the distance to the lowest polymorph of the same formula at 0.000 eV per atom. The calculation puts the total magnetization at 0.00 Bohr magnetons per cell. For the density of states at the Fermi level, the calculation gives 0.425 states/eV/f.u. The uncorrected formation energy comes out at -977 meV per atom.

a b c (Å): 4.974 3.988 5.424
angles (deg): 90.00 100.31 90.00
Space group P2_1/m (No. 11)
Unique sites:
Dy: 0.221 0.250 0.366 x2
Ge: 0.334 0.750 0.953 x2
N: 0.263 0.750 0.587 x2